Run i
VASP calculation (PBE-GGA) on Tb3PmNd3 after structural relaxation.

```
Tb3PmNd3
1.0
5.826 0.000 0.000
0.000 9.721 0.000
0.000 -4.861 8.419
Nd Tb Pm
6 6 2
Direct
0.250 0.526 0.621
0.750 0.905 0.526
0.250 0.095 0.474
0.250 0.379 0.905
0.750 0.474 0.379
0.750 0.621 0.095
0.250 0.234 0.188
0.750 0.188 0.954
0.250 0.954 0.766
0.750 0.046 0.234
0.750 0.766 0.812
0.250 0.812 0.046
0.750 0.333 0.667
0.250 0.667 0.333
```

## Properties
symmetry: No. 176
crystal system: hexagonal
N(E_F): 24.6 states/eV/cell
total magnetic moment: 0.0 μB per formula unit

Run ii
VASP calculation (PBE-GGA) on Tb3PmNd3 after structural relaxation.

```
Tb3PmNd3
1.0
-8.563 2.364 -1.089
-4.759 -2.899 -7.003
-6.619 -5.936 1.025
Tb Nd Pm
6 6 2
Direct
0.938 0.713 0.174
0.713 0.174 0.938
0.062 0.287 0.826
0.826 0.062 0.287
0.287 0.826 0.062
0.174 0.938 0.713
0.930 0.280 0.434
0.720 0.566 0.070
0.280 0.434 0.930
0.070 0.720 0.566
0.566 0.070 0.720
0.434 0.930 0.280
0.346 0.346 0.346
0.654 0.654 0.654
```

## Properties
symmetry: No. 148
crystal system: trigonal
N(E_F): 20.8 states/eV/cell
total magnetic moment: 0.0 μB per formula unit

Stability verdict: run i, ahead by 175 meV/atom

Run i
VASP calculation (PBE-GGA) on Tb3Pm5Nd2 after structural relaxation.

```
Tb3Pm5Nd2
1.0
-2.743 5.858 2.412
-5.655 -2.996 10.723
3.048 0.512 12.099
Pm Tb Nd
10 6 4
Direct
0.002 0.248 0.248
0.127 0.467 0.280
0.373 0.720 0.533
0.998 0.752 0.752
0.750 0.500 0.500
0.627 0.280 0.467
0.502 0.248 0.248
0.873 0.533 0.720
0.498 0.752 0.752
0.250 0.500 0.500
0.121 0.127 0.630
0.621 0.630 0.127
0.750 0.000 0.000
0.379 0.370 0.873
0.879 0.873 0.370
0.250 0.000 0.000
0.378 0.023 0.222
0.878 0.222 0.023
0.122 0.778 0.977
0.622 0.977 0.778
```

## Properties
symmetry: No. 72
crystal system: orthorhombic
N(E_F): 29.9 states/eV/cell
total magnetic moment: 0.0 μB per formula unit

Run ii
VASP calculation (PBE-GGA) on Tb3Pm5Nd2 after structural relaxation.

```
Tb3Pm5Nd2
1.0
8.637 1.735 -4.075
0.306 8.817 -4.143
-1.905 -2.192 10.862
Pm Tb Nd
10 6 4
Direct
0.719 0.469 0.938
0.980 0.230 0.461
0.606 0.852 0.238
0.394 0.148 0.762
0.479 0.729 0.458
0.868 0.615 0.762
0.020 0.770 0.539
0.521 0.271 0.542
0.281 0.531 0.062
0.132 0.385 0.238
0.010 0.779 0.242
0.227 0.977 0.955
0.268 0.536 0.758
0.732 0.464 0.242
0.990 0.221 0.758
0.773 0.023 0.045
0.532 0.267 0.248
0.215 0.980 0.248
0.785 0.020 0.752
0.468 0.733 0.752
```

## Properties
symmetry: No. 15
crystal system: monoclinic
N(E_F): 36.6 states/eV/cell
total magnetic moment: 0.0 μB per formula unit

Stability verdict: run ii, ahead by 183 meV/atom

Run i
VASP calculation (PBE-GGA) on Tb2Pm5Nd12 after structural relaxation.

```
Tb2Pm5Nd12
1.0
6.855 0.000 -2.204
-0.907 8.333 -2.822
0.027 -0.124 11.847
Nd Pm Tb
12 5 2
Direct
0.948 0.794 0.401
0.052 0.206 0.599
0.453 0.794 0.401
0.150 0.616 0.788
0.548 0.696 0.097
0.638 0.616 0.788
0.143 0.060 0.285
0.857 0.940 0.715
0.850 0.384 0.212
0.547 0.206 0.599
0.362 0.384 0.212
0.452 0.304 0.903
0.000 0.500 0.000
0.650 0.096 0.300
0.751 0.510 0.503
0.249 0.490 0.497
0.350 0.904 0.700
0.257 0.000 0.000
0.743 0.000 0.000
```

## Properties
symmetry: No. 12
crystal system: monoclinic
N(E_F): 28.2 states/eV/cell
total magnetic moment: 0.0 μB per formula unit

Run ii
VASP calculation (PBE-GGA) on Tb2Pm5Nd12 after structural relaxation.

```
Tb2Pm5Nd12
1.0
7.219 0.000 0.000
-3.610 8.659 3.618
0.000 -0.230 10.585
Nd Tb Pm
12 2 5
Direct
0.581 0.666 0.524
0.419 0.334 0.476
0.026 0.051 0.756
0.085 0.666 0.524
0.407 0.320 0.132
0.499 0.997 0.323
0.501 0.003 0.677
0.087 0.680 0.868
0.974 0.949 0.244
0.913 0.320 0.132
0.915 0.334 0.476
0.593 0.680 0.868
0.278 0.000 0.000
0.722 0.000 0.000
0.186 0.371 0.815
0.326 0.652 0.208
0.674 0.348 0.792
0.814 0.629 0.185
0.000 0.000 0.500
```

## Properties
symmetry: No. 12
crystal system: monoclinic
N(E_F): 31.5 states/eV/cell
total magnetic moment: 0.0 μB per formula unit

Stability verdict: run i, ahead by 35 meV/atom

Run i
VASP calculation (PBE-GGA) on Tb5Pm4Nd2 after structural relaxation.

```
Tb5Pm4Nd2
1.0
-0.073 -0.070 -3.485
8.599 -2.133 -0.137
-4.207 -11.283 2.059
Tb Pm Nd
5 4 2
Direct
0.232 0.828 0.464
0.858 0.883 0.716
0.500 0.000 0.000
0.142 0.117 0.284
0.768 0.172 0.536
0.679 0.470 0.358
0.321 0.530 0.642
0.046 0.359 0.092
0.954 0.641 0.908
0.910 0.261 0.819
0.090 0.739 0.181
```

## Properties
symmetry: No. 12
crystal system: monoclinic
N(E_F): 19.6 states/eV/cell
total magnetic moment: 0.0 μB per formula unit

Run ii
VASP calculation (PBE-GGA) on Tb5Pm4Nd2 after structural relaxation.

```
Tb5Pm4Nd2
1.0
-0.604 -5.846 -4.657
-3.110 -5.757 1.595
-9.398 -1.084 -3.457
Pm Tb Nd
4 5 2
Direct
0.326 0.225 0.123
0.674 0.775 0.877
0.686 0.125 0.503
0.314 0.875 0.497
0.650 0.361 0.774
0.350 0.639 0.226
0.215 0.361 0.774
0.000 0.500 0.500
0.785 0.639 0.226
0.857 0.158 0.127
0.143 0.842 0.873
```

## Properties
symmetry: No. 12
crystal system: monoclinic
N(E_F): 17.9 states/eV/cell
total magnetic moment: 0.0 μB per formula unit

Stability verdict: run ii, ahead by 19 meV/atom

Run i
VASP calculation (PBE-GGA) on Tb2Pm7Nd3 after structural relaxation.

```
Tb2Pm7Nd3
1.0
-0.088 1.433 -3.334
-5.882 -0.907 -0.235
-1.950 17.528 7.585
Tb Pm Nd
2 7 3
Direct
0.500 0.709 0.295
0.500 0.291 0.705
0.500 0.257 0.536
0.500 0.812 0.820
0.000 0.000 0.000
0.500 0.188 0.180
0.000 0.314 0.855
0.500 0.743 0.464
0.000 0.686 0.145
0.000 0.782 0.634
0.500 0.500 0.000
0.000 0.218 0.366
```

## Properties
symmetry: No. 10
crystal system: monoclinic
N(E_F): 16.5 states/eV/cell
total magnetic moment: 0.0 μB per formula unit

Run ii
VASP calculation (PBE-GGA) on Tb2Pm7Nd3 after structural relaxation.

```
Tb2Pm7Nd3
1.0
5.681 0.010 0.002
0.010 6.246 -0.153
0.003 -0.242 12.368
Pm Tb Nd
7 2 3
Direct
0.497 0.240 0.448
0.503 0.760 0.552
0.000 0.443 0.184
0.000 0.000 0.000
0.500 0.911 0.833
0.000 0.557 0.816
0.500 0.089 0.167
0.500 0.376 0.719
0.500 0.624 0.281
0.999 0.938 0.337
0.001 0.062 0.663
0.500 0.500 0.000
```

## Properties
symmetry: No. 2
crystal system: triclinic
N(E_F): 17.8 states/eV/cell
total magnetic moment: 0.0 μB per formula unit

Stability verdict: run i, ahead by 192 meV/atom

Run i
VASP calculation (PBE-GGA) on TbPm5Nd2 after structural relaxation.

```
TbPm5Nd2
1.0
9.344 0.000 -3.997
-0.979 6.173 -2.289
-0.930 -1.730 10.745
Pm Tb Nd
10 2 4
Direct
0.118 0.380 0.406
0.688 0.042 0.195
0.507 0.542 0.195
0.062 0.250 0.000
0.312 0.958 0.805
0.711 0.120 0.594
0.289 0.880 0.406
0.493 0.458 0.805
0.938 0.750 0.000
0.882 0.620 0.594
0.500 0.500 0.500
0.000 0.000 0.500
0.338 0.030 0.164
0.662 0.970 0.836
0.175 0.470 0.836
0.825 0.530 0.164
```

## Properties
symmetry: No. 15
crystal system: monoclinic
N(E_F): 25.6 states/eV/cell
total magnetic moment: 0.0 μB per formula unit

Run ii
VASP calculation (PBE-GGA) on TbPm5Nd2 after structural relaxation.

```
TbPm5Nd2
1.0
-3.945 -0.490 3.269
-1.359 -6.665 -2.640
8.977 -5.777 9.965
Pm Tb Nd
10 2 4
Direct
0.500 0.251 0.376
0.000 0.500 0.500
0.500 0.249 0.876
0.000 0.001 0.251
0.000 0.000 0.000
0.500 0.751 0.124
0.000 0.499 0.751
0.000 0.999 0.749
0.000 0.501 0.249
0.500 0.749 0.624
0.000 0.500 0.000
0.000 0.000 0.500
0.500 0.749 0.876
0.500 0.249 0.624
0.500 0.751 0.376
0.500 0.251 0.124
```

## Properties
symmetry: No. 55
crystal system: orthorhombic
N(E_F): 24.4 states/eV/cell
total magnetic moment: 0.0 μB per formula unit

Stability verdict: run ii, ahead by 134 meV/atom

Run i
VASP calculation (PBE-GGA) on TbPm3Nd5 after structural relaxation.

```
TbPm3Nd5
1.0
-2.108 6.808 3.970
0.999 -3.810 7.143
9.682 4.375 5.158
Pm Nd Tb
6 10 2
Direct
0.791 0.791 0.348
0.000 0.000 0.000
0.379 0.379 0.158
0.209 0.209 0.652
0.000 0.000 0.500
0.621 0.621 0.842
0.471 0.471 0.381
0.745 0.255 0.000
0.966 0.436 0.353
0.564 0.034 0.647
0.529 0.529 0.619
0.306 0.306 0.905
0.694 0.694 0.095
0.255 0.745 0.000
0.034 0.564 0.647
0.436 0.966 0.353
0.910 0.910 0.795
0.090 0.090 0.205
```

## Properties
symmetry: No. 12
crystal system: monoclinic
N(E_F): 27.8 states/eV/cell
total magnetic moment: 0.0 μB per formula unit

Run ii
VASP calculation (PBE-GGA) on TbPm3Nd5 after structural relaxation.

```
TbPm3Nd5
1.0
6.303 0.000 0.000
-3.151 9.685 -4.504
0.000 -2.201 11.552
Pm Nd Tb
6 10 2
Direct
0.950 0.355 0.827
0.000 0.000 0.500
0.404 0.355 0.327
0.596 0.645 0.673
0.000 0.000 0.000
0.050 0.645 0.173
0.015 0.643 0.477
0.542 0.720 0.373
0.372 0.357 0.023
0.822 0.280 0.127
0.985 0.357 0.523
0.577 0.000 0.250
0.423 0.000 0.750
0.628 0.643 0.977
0.458 0.280 0.627
0.178 0.720 0.873
0.090 0.000 0.250
0.910 0.000 0.750
```

## Properties
symmetry: No. 15
crystal system: monoclinic
N(E_F): 24.4 states/eV/cell
total magnetic moment: 0.0 μB per formula unit

Stability verdict: run ii, ahead by 287 meV/atom

Run i
VASP calculation (PBE-GGA) on Tb4Pm3Nd5 after structural relaxation.

```
Tb4Pm3Nd5
1.0
7.006 -0.455 1.849
-5.256 7.697 -6.723
4.164 -4.061 11.747
Tb Nd Pm
4 5 3
Direct
0.917 0.832 0.667
0.836 0.669 0.834
0.083 0.168 0.333
0.164 0.331 0.166
0.665 0.333 0.168
0.251 0.499 0.999
0.335 0.667 0.832
0.500 0.000 0.500
0.749 0.501 0.001
0.413 0.831 0.666
0.000 0.000 0.500
0.587 0.169 0.334
```

## Properties
symmetry: No. 2
crystal system: triclinic
N(E_F): 16.5 states/eV/cell
total magnetic moment: 0.0 μB per formula unit

Run ii
VASP calculation (PBE-GGA) on Tb4Pm3Nd5 after structural relaxation.

```
Tb4Pm3Nd5
1.0
-5.008 -1.244 -3.112
1.042 2.155 -8.373
-1.323 -9.725 0.181
Nd Tb Pm
5 4 3
Direct
0.377 0.048 0.199
0.500 0.500 0.500
0.623 0.952 0.801
0.213 0.461 0.114
0.787 0.539 0.886
0.860 0.222 0.059
0.165 0.048 0.622
0.835 0.952 0.378
0.140 0.778 0.941
0.481 0.311 0.727
0.000 0.500 0.500
0.519 0.689 0.273
```

## Properties
symmetry: No. 12
crystal system: monoclinic
N(E_F): 19.2 states/eV/cell
total magnetic moment: 0.0 μB per formula unit

Stability verdict: run i, ahead by 198 meV/atom

Run i
VASP calculation (PBE-GGA) on Tb6PmNd12 after structural relaxation.

```
Tb6PmNd12
1.0
8.795 -0.197 -1.245
-1.405 8.684 -1.245
-0.171 -0.197 8.881
Tb Nd Pm
6 12 1
Direct
0.904 0.338 0.904
0.904 0.904 0.338
0.338 0.904 0.904
0.096 0.096 0.662
0.662 0.096 0.096
0.096 0.662 0.096
0.759 0.500 0.241
0.241 0.500 0.759
0.646 0.917 0.646
0.241 0.759 0.500
0.083 0.354 0.354
0.354 0.083 0.354
0.646 0.646 0.917
0.354 0.354 0.083
0.500 0.759 0.241
0.917 0.646 0.646
0.759 0.241 0.500
0.500 0.241 0.759
0.000 0.000 0.000
```

## Properties
symmetry: No. 166
crystal system: trigonal
N(E_F): 37.5 states/eV/cell
total magnetic moment: 0.0 μB per formula unit

Run ii
VASP calculation (PBE-GGA) on Tb6PmNd12 after structural relaxation.

```
Tb6PmNd12
1.0
8.646 0.698 0.836
-0.621 8.652 0.836
-0.621 -0.723 8.662
Nd Pm Tb
12 1 6
Direct
0.196 0.362 0.017
0.017 0.196 0.362
0.567 0.220 0.463
0.983 0.804 0.638
0.220 0.463 0.567
0.780 0.537 0.433
0.362 0.017 0.196
0.463 0.567 0.220
0.537 0.433 0.780
0.433 0.780 0.537
0.804 0.638 0.983
0.638 0.983 0.804
0.000 0.000 0.000
0.741 0.902 0.300
0.700 0.259 0.098
0.300 0.741 0.902
0.902 0.300 0.741
0.098 0.700 0.259
0.259 0.098 0.700
```

## Properties
symmetry: No. 148
crystal system: trigonal
N(E_F): 31.1 states/eV/cell
total magnetic moment: 0.0 μB per formula unit

Stability verdict: run ii, ahead by 60 meV/atom